[1]
VASP calculation (PBE) on a geometry-optimized TbTlRh4 structure.

a = 5.3136 Å, b = 5.3136 Å, c = 5.3136 Å
α = 60.00°, β = 60.00°, γ = 60.00°
Positions (direct):
Tb (0.0000, 0.0000, 0.0000)
Tl (0.7500, 0.7500, 0.7500)
Rh (0.3755, 0.3755, 0.3755)
Rh (0.3755, 0.3755, 0.8735)
Rh (0.3755, 0.8735, 0.3755)
Rh (0.8735, 0.3755, 0.3755)

Calculated values
crystal system	cubic
uncorrected energy	-38.617	eV for the cell shown
space-group type	F-43m
volume	17.7	Å³ per atom
formation enthalpy at 0 K	-0.37	eV/atom

[2]
VASP calculation (PBE) on a geometry-optimized TlZn6 structure.

a = 6.0891 Å, b = 6.0891 Å, c = 6.0891 Å
α = 109.47°, β = 109.47°, γ = 109.47°
Positions (direct):
Tl (0.0000, 0.0000, 0.0000)
Zn (0.2500, 0.5000, 0.7500)
Zn (0.2500, 0.7500, 0.5000)
Zn (0.5000, 0.2500, 0.7500)
Zn (0.5000, 0.7500, 0.2500)
Zn (0.7500, 0.2500, 0.5000)
Zn (0.7500, 0.5000, 0.2500)

Calculated values
crystal system	cubic
uncorrected energy	-7.415	eV for the cell shown
space-group type	Im-3m
volume	24.8	Å³ per atom
formation enthalpy at 0 K	0.37	eV/atom

[3]
VASP calculation (PBE) on a geometry-optimized Zr2MnNi3 structure.

a = 4.9804 Å, b = 4.9804 Å, c = 8.0845 Å
α = 90.00°, β = 90.00°, γ = 120.00°
Positions (direct):
Zr (0.3333, 0.6667, 0.0618)
Zr (0.3333, 0.6667, 0.4382)
Zr (0.6667, 0.3333, 0.5618)
Zr (0.6667, 0.3333, 0.9382)
Mn (0.0000, 0.0000, 0.0000)
Mn (0.0000, 0.0000, 0.5000)
Ni (0.1682, 0.3364, 0.7500)
Ni (0.1682, 0.8318, 0.7500)
Ni (0.3364, 0.1682, 0.2500)
Ni (0.6636, 0.8318, 0.7500)
Ni (0.8318, 0.1682, 0.2500)
Ni (0.8318, 0.6636, 0.2500)

Calculated values
crystal system	hexagonal
uncorrected energy	-91.259	eV for the cell shown
space-group type	P6_3/mmc
volume	14.5	Å³ per atom
formation enthalpy at 0 K	-0.34	eV/atom

[4]
VASP calculation (PBE) on a geometry-optimized Ba2AgSnGe structure.

a = 6.6017 Å, b = 6.6017 Å, c = 5.1104 Å
α = 90.00°, β = 90.00°, γ = 90.00°
Positions (direct):
Ba (0.0000, 0.5000, 0.0000)
Ba (0.5000, 0.0000, 0.0000)
Ag (0.0000, 0.0000, 0.5000)
Sn (0.0000, 0.0000, 0.0000)
Ge (0.5000, 0.5000, 0.5000)

Calculated values
crystal system	tetragonal
uncorrected energy	-14.709	eV for the cell shown
space-group type	P4/mmm
volume	44.5	Å³ per atom
formation enthalpy at 0 K	0.12	eV/atom

[5]
VASP calculation (PBE) on a geometry-optimized Sc6InIr5 structure.

a = 7.9556 Å, b = 7.9556 Å, c = 7.9556 Å
α = 146.96°, β = 128.86°, γ = 62.24°
Positions (direct):
Sc (0.0693, 0.3280, 0.7412)
Sc (0.2322, 0.0000, 0.2322)
Sc (0.4132, 0.6720, 0.7412)
Sc (0.5868, 0.3280, 0.2588)
Sc (0.7678, 0.0000, 0.7678)
Sc (0.9307, 0.6720, 0.2588)
In (0.5000, 0.5000, 0.0000)
Ir (0.0000, 0.5000, 0.5000)
Ir (0.1685, 0.1685, 0.0000)
Ir (0.3372, 0.8372, 0.5000)
Ir (0.6628, 0.1628, 0.5000)
Ir (0.8315, 0.8315, 0.0000)

Calculated values
crystal system	orthorhombic
uncorrected energy	-95.678	eV for the cell shown
space-group type	Immm
volume	17.6	Å³ per atom
formation enthalpy at 0 K	-0.89	eV/atom

[6]
VASP calculation (PBE) on a geometry-optimized Ca2Cd2Ag15 structure.

a = 7.3606 Å, b = 7.3606 Å, c = 7.3606 Å
α = 82.72°, β = 82.72°, γ = 82.72°
Positions (direct):
Ca (0.1518, 0.1518, 0.1518)
Ca (0.8482, 0.8482, 0.8482)
Cd (0.3977, 0.3977, 0.3977)
Cd (0.6023, 0.6023, 0.6023)
Ag (0.0000, 0.5000, 0.5000)
Ag (0.1522, 0.1522, 0.6587)
Ag (0.1522, 0.6587, 0.1522)
Ag (0.1926, 0.5000, 0.8074)
Ag (0.1926, 0.8074, 0.5000)
Ag (0.3413, 0.8478, 0.8478)
Ag (0.5000, 0.0000, 0.5000)
Ag (0.5000, 0.1926, 0.8074)
Ag (0.5000, 0.5000, 0.0000)
Ag (0.5000, 0.8074, 0.1926)
Ag (0.6587, 0.1522, 0.1522)
Ag (0.8074, 0.1926, 0.5000)
Ag (0.8074, 0.5000, 0.1926)
Ag (0.8478, 0.3413, 0.8478)
Ag (0.8478, 0.8478, 0.3413)

Calculated values
crystal system	trigonal
uncorrected energy	-50.511	eV for the cell shown
space-group type	R-3m
volume	20.5	Å³ per atom
formation enthalpy at 0 K	-0.10	eV/atom

[7]
VASP calculation (PBE) on a geometry-optimized Dy3HoCo2 structure.

a = 8.3936 Å, b = 8.3936 Å, c = 11.5191 Å
α = 123.04°, β = 123.04°, γ = 25.76°
Positions (direct):
Dy (0.0839, 0.0839, 0.4399)
Dy (0.0837, 0.0837, 0.9414)
Dy (0.3404, 0.3404, 0.2531)
Dy (0.6596, 0.6596, 0.7469)
Dy (0.9163, 0.9163, 0.0586)
Dy (0.9161, 0.9161, 0.5601)
Ho (0.3402, 0.3402, 0.7526)
Ho (0.6598, 0.6598, 0.2474)
Co (0.2671, 0.2671, 0.4521)
Co (0.2667, 0.2667, 0.9516)
Co (0.7333, 0.7333, 0.0484)
Co (0.7329, 0.7329, 0.5479)

Calculated values
crystal system	monoclinic
uncorrected energy	-67.119	eV for the cell shown
space-group type	C2/m
volume	24.4	Å³ per atom
formation enthalpy at 0 K	-0.16	eV/atom

[8]
VASP calculation (PBE) on a geometry-optimized MoOsAu structure.

a = 4.3110 Å, b = 4.3110 Å, c = 4.3110 Å
α = 60.00°, β = 60.00°, γ = 60.00°
Positions (direct):
Mo (0.0000, 0.0000, 0.0000)
Os (0.2500, 0.2500, 0.2500)
Au (0.5000, 0.5000, 0.5000)

Calculated values
crystal system	cubic
uncorrected energy	-23.068	eV for the cell shown
space-group type	F-43m
volume	18.9	Å³ per atom
formation enthalpy at 0 K	0.76	eV/atom

Among the records above, which one has the lowest volume?
Zr2MnNi3